(1)
Density functional theory data (PBE+U) for an optimized crystal structure of K2VPbO4.

Calculated values
SG: Pmn2_1
Total moment in μB/atom: 0.125
VASP energy in eV/cell: -93.1

Structure (extended XYZ):
```
16
Lattice="-2.1046 0.4709 5.3607 6.1477 -0.7176 2.4766 1.0787 8.2126 -0.2980" Properties=species:S:1:pos:R:3 pbc="T T T"
V 0.9741 -0.1137 0.3939
O 0.3712 4.2035 1.9206
K 1.7028 6.2112 3.0969
Pb -0.2909 4.4244 5.6134
K 1.1509 2.0093 3.2494
O 4.3840 3.8416 6.4733
Pb 3.8968 -0.3463 4.5625
O 4.1833 5.3401 3.9799
O -0.0423 1.7767 5.7481
V 4.6597 3.7380 4.6166
O 0.6334 6.9211 5.5614
O 3.8144 -0.2551 6.7783
K 2.4739 2.0646 6.8781
O -0.0843 0.0813 1.9352
K 3.0007 6.0752 6.7326
O 3.7803 2.2718 4.0912
```



(2)
Density functional theory data (PBE+U) for an optimized crystal structure of KVPbO5.

Calculated values
SG: C2/c
Total moment in μB/atom: 0.000
VASP energy in eV/cell: -98.8

Structure (extended XYZ):
```
16
Lattice="-2.9412 2.9688 -4.5685 -1.6110 -5.9630 -0.4280 -3.4882 2.4305 6.3637" Properties=species:S:1:pos:R:3 pbc="T T T"
K -2.9366 -2.3097 -0.2489
O -3.4007 -0.2353 2.5281
Pb -1.7441 1.2153 3.1818
O -5.4474 4.0534 0.5465
O -2.5930 -4.6170 0.8207
O -1.8735 0.0057 -1.3288
O -3.5351 1.1160 -3.3996
O -4.5043 -2.8720 2.1943
O -4.5053 -1.6796 4.7668
O -4.6397 -0.3284 -1.1609
O -6.1669 -0.5694 2.6960
V -3.3974 0.7842 -1.6832
V -4.6430 -1.3479 3.0504
O -3.5361 2.3084 -0.8271
Pb 0.0000 0.0000 0.0000
K -5.1038 1.7460 1.6162
```



(3)
Density functional theory data (PBE+U) for an optimized crystal structure of KVPbO4.

Calculated values
SG: Pnma
Total moment in μB/atom: 0.000
Energy relative to the lowest polymorph listed for this composition in meV per atom: 0

Structure (extended XYZ):
```
28
Lattice="5.8753 0.0000 0.0000 0.0000 7.9053 0.0000 0.0000 0.0000 10.4038" Properties=species:S:1:pos:R:3 pbc="T T T"
K 4.4065 2.4774 4.2179
O 1.4688 0.3037 6.4463
O 4.4065 1.8472 9.4276
O 5.8390 5.1716 3.7746
Pb 4.4065 7.7644 7.5501
O 4.4065 3.6489 1.2444
Pb 4.4065 3.8118 8.0556
O 2.9014 2.7337 6.6292
O 2.9014 6.6864 8.9765
O 0.0363 6.6864 8.9765
V 4.4065 2.0024 0.7975
O 0.0363 2.7337 6.6292
O 2.9739 1.2189 1.4273
V 1.4688 5.9029 9.6063
O 4.4065 5.7999 6.1781
O 1.4688 6.0580 0.9762
V 4.4065 5.9551 4.4044
K 4.4065 6.4300 0.9840
O 2.9739 5.1716 3.7746
K 1.4688 5.4279 6.1859
K 1.4688 1.4753 9.4198
O 5.8390 1.2189 1.4273
Pb 1.4688 4.0935 2.3482
V 1.4688 1.9502 5.9994
O 1.4688 2.1054 4.2257
O 1.4688 4.2564 9.1593
Pb 1.4688 0.1409 2.8537
O 4.4065 7.6016 3.9574
```



(4)
Density functional theory data (PBE+U) for an optimized crystal structure of K2Pb2WO6.

Calculated values
SG: C2/m
Total moment in μB/atom: 0.000
VASP energy in eV/cell: -64.3

Structure (extended XYZ):
```
11
Lattice="6.0332 0.2039 0.1066 -2.8047 5.3455 0.1066 -1.1061 -1.9012 6.1941" Properties=species:S:1:pos:R:3 pbc="T T T"
Pb 2.5030 0.9853 3.2037
W -0.5530 -0.9506 3.0971
K -1.2822 4.4597 0.1066
O 1.8784 3.2288 4.4509
Pb -0.3806 2.6629 3.2037
O 3.5057 3.1662 2.1873
O 1.0197 4.6125 2.1873
K 4.5107 1.0896 0.1066
O 0.2439 0.4193 1.9564
O -1.3833 0.4820 4.2200
O 1.1027 -0.9643 4.2200
```



(5)
Density functional theory data (PBE+U) for an optimized crystal structure of K2PbW3O12.

Calculated values
SG: R-3m
Total moment in μB/atom: 0.000
VASP energy in eV/cell: -120.4

Structure (extended XYZ):
```
18
Lattice="-5.6511 3.4350 -3.5766 -7.0487 -0.6058 2.5445 -3.4485 5.9105 3.1144" Properties=species:S:1:pos:R:3 pbc="T T T"
O -9.3534 2.2577 2.2438
O -11.6470 6.0881 3.9646
O -8.4668 4.8212 -1.6395
O -6.7948 6.4820 -0.1614
O -4.5013 2.6515 -1.8822
O -5.3007 0.3401 1.6191
W -1.7242 2.9552 1.5572
O -9.0788 2.3479 -0.5230
Pb 0.0000 0.0000 0.0000
W -2.8255 1.7175 -1.7883
O -10.8475 8.3995 0.4632
K -10.4572 5.6596 1.3485
W -3.5243 -0.3029 1.2723
O -12.9069 4.6721 0.1373
O -7.0694 6.3917 2.6053
K -5.6910 3.0801 0.7339
O -3.2413 4.0676 1.9451
O -7.6815 3.9184 3.7219
```